--- P ---
The following is a PBE calculation of an optimized crystal structure of NbCo2Ni2, from the Alexandria database.

Values from the calculation:
space-group type: P4/mbm
density of states at the Fermi level: 1.41 states/eV/atom

Cell lengths 6.8563, 6.8563, 2.6241 Å; angles 90.00, 90.00, 90.00 degrees
Atoms (fractional coordinates):
1 Nb 0.0000 0.0000 0.0000
2 Nb 0.5000 0.5000 0.0000
3 Co 0.1708 0.3292 0.5000
4 Co 0.3292 0.8292 0.5000
5 Co 0.6708 0.1708 0.5000
6 Co 0.8292 0.6708 0.5000
7 Ni 0.1242 0.6242 0.0000
8 Ni 0.3758 0.1242 0.0000
9 Ni 0.6242 0.8758 0.0000
10 Ni 0.8758 0.3758 0.0000

--- Q ---
The following is a PBE calculation of an optimized crystal structure of NbCo2Ni2, from the Alexandria database.

Values from the calculation:
space-group type: I4/mmm
density of states at the Fermi level: 1.16 states/eV/atom

Cell lengths 3.3874, 3.3874, 11.1029 Å; angles 90.00, 90.00, 90.00 degrees
Atoms (fractional coordinates):
1 Nb 0.0000 0.0000 0.0000
2 Nb 0.5000 0.5000 0.5000
3 Co 0.0000 0.0000 0.3998
4 Co 0.0000 0.0000 0.6002
5 Co 0.5000 0.5000 0.1002
6 Co 0.5000 0.5000 0.8998
7 Ni 0.0000 0.5000 0.2500
8 Ni 0.0000 0.5000 0.7500
9 Ni 0.5000 0.0000 0.2500
10 Ni 0.5000 0.0000 0.7500

Here are the energies relative to the best structure, in meV/atom: P 0; Q 73.